BaCa2Te | Alexandria via LeMat-Bulk | PBE | optimized geometry; electronic total energy = -12.031 eV per cell; crystal system = orthorhombic; DOS at the Fermi energy = 0.5945 states/eV per atom; symmetry = Immm; ΔE_f (raw) = -741.0 meV/atom; M_tot = 0.0 μB/f.u.
1.0
-2.045 3.071 6.489
2.045 -3.071 6.489
2.045 3.071 -6.489
Ba Ca Te
1 2 1
Cartesian
0.000 0.000 0.000 Ba
2.045 0.000 3.926 Ca
0.000 3.071 2.562 Ca
0.000 0.000 6.489 Te